[1]
Ba2NdPdO5 GGA-PBE relaxed; crystal system = monoclinic
1.0
-3.209 6.482 0.962
-2.603 -2.074 5.290
7.103 -0.883 3.148
Ba O Pd Nd
4 10 2 2
Direct
0.210 0.736 0.083
0.377 0.742 0.635
0.623 0.242 0.365
0.790 0.236 0.917
0.906 0.418 0.259
0.936 0.411 0.691
0.583 0.760 0.386
0.785 0.780 0.876
0.215 0.280 0.124
0.417 0.260 0.614
0.064 0.911 0.309
0.094 0.918 0.741
0.463 0.540 0.960
0.537 0.040 0.040
0.152 0.222 0.368
0.848 0.722 0.632
0.262 0.243 0.842
0.738 0.743 0.158

[2]
ScFeBiIr GGA-PBE relaxed; E above lowest polymorph = 0.000 eV per atom; crystal system = cubic
1.0
0.000 3.273 3.273
3.273 0.000 3.273
3.273 3.273 0.000
Sc Bi Ir Fe
1 1 1 1
Direct
0.500 0.500 0.500
0.000 0.000 0.000
0.250 0.250 0.250
0.750 0.750 0.750

[3]
ErSiPt2 GGA-PBE relaxed; crystal system = orthorhombic
1.0
-2.782 3.085 -0.146
-3.699 -3.178 3.339
2.597 2.594 5.346
Pt Er Si
4 2 2
Direct
0.500 0.948 0.544
0.500 0.052 0.044
0.000 0.655 0.394
0.000 0.345 0.894
0.000 0.805 0.834
0.000 0.195 0.334
0.500 0.299 0.727
0.500 0.701 0.227

[4]
LaNdZn2Pb2 GGA-PBE relaxed; E above lowest polymorph = 0.000 eV per atom; crystal system = hexagonal
1.0
-1.347 -3.901 2.218
3.965 0.025 -2.496
8.550 4.799 13.629
Zn Pb La Nd
4 4 2 2
Direct
0.333 0.667 0.664
0.667 0.333 0.336
0.333 0.667 0.836
0.667 0.333 0.164
0.667 0.333 0.886
0.333 0.667 0.386
0.333 0.667 0.114
0.667 0.333 0.614
0.000 0.000 0.500
0.000 0.000 0.000
0.000 0.000 0.250
0.000 0.000 0.750

[5]
InBiOs GGA-PBE relaxed; crystal system = cubic
1.0
3.349 -1.092 3.026
-1.079 -0.943 4.417
0.357 -4.344 1.601
In Bi Os
1 1 1
Direct
0.750 0.750 0.750
0.250 0.250 0.250
0.000 0.000 0.000

[6]
KHfTe GGA-PBE relaxed; E above lowest polymorph = 0.000 eV per atom; crystal system = cubic
1.0
0.000 3.677 3.677
3.677 0.000 3.677
3.677 3.677 0.000
Te K Hf
1 1 1
Direct
0.000 0.000 0.000
0.750 0.750 0.750
0.250 0.250 0.250

[7]
MgNpTe GGA-PBE relaxed; E above lowest polymorph = 0.005 eV per atom; crystal system = cubic
1.0
3.457 -1.563 3.509
-0.037 2.036 4.750
-1.518 -2.862 4.026
Mg Te Np
1 1 1
Direct
0.500 0.500 0.500
0.000 0.000 0.000
0.250 0.250 0.250

[8]
ZrAgO3 GGA-PBE relaxed; crystal system = tetragonal
1.0
-0.644 -3.921 -1.571
-1.412 -1.298 3.818
-3.814 1.049 -1.054
O Zr Ag
3 1 1
Direct
0.500 0.500 0.135
0.500 0.000 0.668
0.000 0.500 0.668
0.500 0.500 0.610
0.000 0.000 0.818

no.,E_tot (eV per cell),M_tot (μB/f.u.)
1,-113.50,3.00
2,-27.98,1.78
3,-51.25,0.00
4,-45.41,0.00
5,-16.51,0.00
6,-12.80,2.97
7,-16.92,5.01
8,-35.17,0.00